{
  "formula": "Hf2TeS2",
  "functional": "GGA-PBE",
  "state": "relaxed",
  "lattice_angstrom": [[-1.882, 2.509, 6.076], [1.882, -2.509, 6.076], [1.882, 2.509, -6.076]],
  "species": ["Hf", "Hf", "Te", "S", "S"],
  "fractional_positions": [[0.185, 0.185, 0.000], [0.815, 0.815, 0.000], [0.000, 0.500, 0.500], [0.330, 0.830, 0.500], [0.670, 0.170, 0.500]],
  "n_ef_per_ev_cell": 2.114,
  "dft_energy_ev_per_cell": -37.4,
  "spacegroup": "No. 71"
}

{
  "formula": "Sm2ZnAs3Rh4",
  "functional": "GGA-PBE",
  "state": "relaxed",
  "lattice_angstrom": [[4.191, 0.000, 0.000], [0.000, 4.191, 0.000], [0.000, 0.000, 10.286]],
  "species": ["Sm", "Sm", "Zn", "As", "As", "As", "Rh", "Rh", "Rh", "Rh"],
  "fractional_positions": [[0.000, 0.500, 0.247], [0.500, 0.000, 0.753], [0.500, 0.500, 0.000], [0.000, 0.000, 0.000], [0.000, 0.500, 0.636], [0.500, 0.000, 0.364], [0.000, 0.000, 0.500], [0.000, 0.500, 0.868], [0.500, 0.000, 0.132], [0.500, 0.500, 0.500]],
  "delta_e_f_ev_per_atom": -0.878,
  "n_ef_per_ev_cell": 4.899,
  "spacegroup": "No. 115"
}

{
  "formula": "Hf3AuN",
  "functional": "GGA-PBE",
  "state": "relaxed",
  "lattice_angstrom": [[4.406, 0.000, 0.000], [0.000, 4.406, 0.000], [0.000, 0.000, 4.406]],
  "species": ["Hf", "Hf", "Hf", "Au", "N"],
  "fractional_positions": [[0.000, 0.000, 0.500], [0.000, 0.500, 0.000], [0.500, 0.000, 0.000], [0.500, 0.500, 0.500], [0.000, 0.000, 0.000]],
  "n_ef_per_ev_cell": 2.607,
  "dft_energy_ev_per_cell": -46.2,
  "spacegroup": "No. 221"
}

{
  "formula": "Mg3Ta",
  "functional": "GGA-PBE",
  "state": "relaxed",
  "lattice_angstrom": [[4.297, 0.000, 0.000], [0.000, 4.297, 0.000], [0.000, 0.000, 4.297]],
  "species": ["Mg", "Mg", "Mg", "Ta"],
  "fractional_positions": [[0.000, 0.000, 0.500], [0.000, 0.500, 0.000], [0.500, 0.000, 0.000], [0.500, 0.500, 0.500]],
  "delta_e_f_ev_per_atom": 0.356,
  "n_ef_per_ev_cell": 3.571,
  "spacegroup": "No. 221"
}